Record 1
The following is a DFT calculation (PBE) of a relaxed structure of TmGePt6.

DFT formation energy ... -582 meV/atom
Energy relative to the lowest polymorph listed for this composition ... 0 meV/atom
E_tot ... -6.25 eV/atom
SG ... Amm2 (38)

abc: 4.198 5.647 5.647
angles: 95.48 90.00 90.00
Fractional coordinates of all 8 atoms:
1 Tm 0.000 0.000 0.000
2 Ge 0.500 0.717 0.717
3 Pt 0.000 0.036 0.500
4 Pt 0.000 0.500 0.036
5 Pt 0.000 0.536 0.536
6 Pt 0.500 0.256 0.761
7 Pt 0.500 0.263 0.263
8 Pt 0.500 0.761 0.256



Record 2
The following is a DFT calculation (PBE) of a relaxed structure of CaPr2SmHg4.

DFT formation energy ... -508 meV/atom
E_tot ... -2.69 eV/atom
SG ... R-3m (166)

abc: 9.365 9.365 9.365
angles: 33.65 33.65 33.65
Fractional coordinates of all 8 atoms:
1 Ca 0.000 0.000 0.000
2 Pr 0.252 0.252 0.252
3 Pr 0.748 0.748 0.748
4 Sm 0.500 0.500 0.500
5 Hg 0.126 0.126 0.126
6 Hg 0.376 0.376 0.376
7 Hg 0.624 0.624 0.624
8 Hg 0.874 0.874 0.874